# 1
MnCdTc2: optimized geometry, GGA-PBE.

Output
Fermi-level density of states = 3.76 states/eV/f.u.
M_tot = 2.0 μB per formula unit
Formation enthalpy at 0 K = 1.24 eV per formula unit

Unit cell a=3.1322 b=4.3722 c=8.9435 alpha=90.00 beta=90.00 gamma=90.00
With the nearest neighbours (Å) after each atom.
Space group Cmmm (No. 65)
Symmetry-distinct sites (fractional):
Mn 0.0000 0.0000 0.0000 [2 per cell]  4 Tc 2.53, 4 Mn 2.69
Cd 0.0000 0.0000 0.5000 [2 per cell]  4 Cd 2.69, 4 Tc 2.94
Tc 0.0000 0.5000 0.2220 [4 per cell]  2 Mn 2.53, 4 Tc 2.69



# 2
Rb2NaOs3O12: optimized geometry, GGA-PBE.

Output
Fermi-level density of states = 1.45 states/eV/f.u.
M_tot = 0.0 μB per formula unit
Formation energy (no corrections) = -2080 kJ/mol of formula units

Unit cell a=7.3829 b=7.3829 c=18.6392 alpha=90.00 beta=90.00 gamma=120.00
With the nearest neighbours (Å) after each atom.
Space group R-3m (No. 166, hexagonal axes)
Symmetry-distinct sites (fractional):
Rb 0.0000 0.0000 0.1175 [6 per cell]  9 O 3.22-3.53
Na 0.0000 0.0000 0.5000 [3 per cell]  6 O 2.35
Os 0.0000 0.5000 0.0000 [9 per cell]  6 O 1.80-1.93
O 0.0292 0.5146 0.0961 [18 per cell]  1 Os 1.80
O 0.0793 0.5396 0.3416 [18 per cell]  2 Os 1.93



# 3
PPt3Au: optimized geometry, GGA-PBE.

Output
Fermi-level density of states = 5.67 states/eV/f.u.
M_tot = 0.0 μB per formula unit
Excess energy over the best structure of this formula in the dataset = 1577.2 meV per atom
Formation enthalpy at 0 K = 8.63 eV per formula unit

Unit cell a=4.9229 b=4.9229 c=4.9229 alpha=90.00 beta=90.00 gamma=90.00
With the nearest neighbours (Å) after each atom.
Space group Pm-3m (No. 221)
Symmetry-distinct sites (fractional):
P 0.0000 0.0000 0.0000 [1 per cell]  12 Pt 3.48
Pt 0.0000 0.5000 0.5000 [3 per cell]  2 Au 2.46
Au 0.5000 0.5000 0.5000 [1 per cell]  6 Pt 2.46



# 4
Li2Ag7Pd2: optimized geometry, GGA-PBE.

Output
Fermi-level density of states = 3.05 states/eV/f.u.
M_tot = 0.0 μB per formula unit
Excess energy over the best structure of this formula in the dataset = 0.0 meV per atom
Formation enthalpy at 0 K = -1.02 eV per formula unit

Unit cell a=7.2758 b=7.7845 c=6.8105 alpha=90.00 beta=103.51 gamma=90.00
With the nearest neighbours (Å) after each atom.
Space group C2/m (No. 12)
Symmetry-distinct sites (fractional):
Li 0.0000 0.1795 0.0000 [4 per cell]  2 Pd 2.67, 8 Ag 2.67-2.94, 1 Li 2.79
Ag 0.0000 0.5000 0.5000 [2 per cell]  10 Ag 2.82-3.08, 2 Pd 2.88
Ag 0.1599 0.5000 0.9200 [4 per cell]  4 Li 2.78-2.86, 6 Ag 2.79-2.96, 1 Pd 2.79
Ag 0.2328 0.1892 0.7006 [8 per cell]  2 Li 2.67-2.94, 3 Pd 2.77-2.83, 4 Ag 2.92-2.96
Pd 0.0962 0.0000 0.3420 [4 per cell]  2 Li 2.67, 8 Ag 2.77-2.88, 1 Pd 2.83



Results for E_tot: -0.2717 -0.2409 -0.1336 -0.1176 (in Ha/atom, following the order of the records).